Record 1
ZrCoRePb | PBE | relaxed

Values from the calculation:
SG ... F-43m, No. 216

Cell lengths 4.6543, 4.6543, 4.6543 Å; angles 60.00, 60.00, 60.00 degrees
Positions (direct):
Zr 0.0000 0.0000 0.0000
Co 0.5000 0.5000 0.5000
Re 0.7500 0.7500 0.7500
Pb 0.2500 0.2500 0.2500

***

Record 2
ZrCoRePb | PBE | relaxed

Values from the calculation:
SG ... F-43m, No. 216

Cell lengths 4.6235, 4.6235, 4.6235 Å; angles 60.00, 60.00, 60.00 degrees
Positions (direct):
Zr 0.0000 0.0000 0.0000
Co 0.7500 0.7500 0.7500
Re 0.2500 0.2500 0.2500
Pb 0.5000 0.5000 0.5000

***

Record 3
CoPbS3 | PBE | relaxed

Values from the calculation:
SG ... P2_1/c, No. 14

Cell lengths 7.0112, 9.7280, 7.0116 Å; angles 90.00, 103.98, 90.00 degrees
Positions (direct):
Co 0.1558 0.2039 0.0030
Co 0.1558 0.2961 0.5030
Co 0.8442 0.7039 0.4970
Co 0.8442 0.7961 0.9970
Pb 0.3629 0.5983 0.2211
Pb 0.3629 0.9017 0.7211
Pb 0.6371 0.0983 0.2789
Pb 0.6371 0.4017 0.7789
S 0.0065 0.2211 0.7060
S 0.0065 0.2789 0.2060
S 0.2683 0.0075 0.0799
S 0.2683 0.4925 0.5799
S 0.4184 0.1774 0.5674
S 0.4184 0.3226 0.0674
S 0.5816 0.6774 0.9326
S 0.5816 0.8226 0.4326
S 0.7317 0.5075 0.4201
S 0.7317 0.9925 0.9201
S 0.9935 0.7211 0.7940
S 0.9935 0.7789 0.2940

***

Record 4
ScCoPb2 | PBE | relaxed

Values from the calculation:
SG ... F-43m, No. 216

Cell lengths 4.9823, 4.9823, 4.9823 Å; angles 60.00, 60.00, 60.00 degrees
Positions (direct):
Sc 0.0000 0.0000 0.0000
Co 0.7500 0.7500 0.7500
Pb 0.2500 0.2500 0.2500
Pb 0.5000 0.5000 0.5000

***

Record 5
ScCo2Pb | PBE | relaxed

Values from the calculation:
SG ... F-43m, No. 216

Cell lengths 4.5383, 4.5383, 4.5383 Å; angles 60.00, 60.00, 60.00 degrees
Positions (direct):
Sc 0.0000 0.0000 0.0000
Co 0.2500 0.2500 0.2500
Co 0.5000 0.5000 0.5000
Pb 0.7500 0.7500 0.7500

***

Record 6
ScCoPb2 | PBE | relaxed

Values from the calculation:
SG ... F-43m, No. 216

Cell lengths 4.9721, 4.9721, 4.9721 Å; angles 60.00, 60.00, 60.00 degrees
Positions (direct):
Sc 0.0000 0.0000 0.0000
Co 0.2500 0.2500 0.2500
Pb 0.5000 0.5000 0.5000
Pb 0.7500 0.7500 0.7500

***

Record 7
ScCoPbW | PBE | relaxed

Values from the calculation:
SG ... F-43m, No. 216

Cell lengths 4.6385, 4.6385, 4.6385 Å; angles 60.00, 60.00, 60.00 degrees
Positions (direct):
Sc 0.0000 0.0000 0.0000
Co 0.5000 0.5000 0.5000
Pb 0.2500 0.2500 0.2500
W 0.7500 0.7500 0.7500

***

Record 8
YScCoPb | PBE | relaxed

Values from the calculation:
SG ... F-43m, No. 216

Cell lengths 4.8824, 4.8824, 4.8824 Å; angles 60.00, 60.00, 60.00 degrees
Positions (direct):
Y 0.0000 0.0000 0.0000
Sc 0.2500 0.2500 0.2500
Co 0.7500 0.7500 0.7500
Pb 0.5000 0.5000 0.5000

***

no.,final energy (eV/atom)
1,-7.35
2,-7.66
3,-4.82
4,-4.94
5,-5.80
6,-4.94
7,-6.93
8,-5.86